Entry 1:
{"formula": "Tb4TlSb", "functional": "PBE-GGA", "state": "optimized geometry", "lattice_angstrom": [[5.560, 0.000, 0.000], [0.000, 6.384, 0.000], [-2.780, 0.000, 10.811]], "species": ["Tb", "Tb", "Tb", "Tb", "Tb", "Tb", "Tb", "Tb", "Tl", "Tl", "Sb", "Sb"], "fractional_positions": [[0.290, 0.071, 0.580], [0.290, 0.573, 0.580], [0.566, 0.322, 0.132], [0.867, 0.322, 0.735], [0.133, 0.822, 0.265], [0.710, 0.571, 0.420], [0.434, 0.822, 0.868], [0.710, 0.073, 0.420], [0.426, 0.322, 0.852], [0.574, 0.822, 0.148], [0.155, 0.322, 0.309], [0.845, 0.822, 0.691]], "total_magnetization_mub_per_atom": 0.000, "space_group": "Cmcm (63)", "total_energy_ev_per_cell": -53.8, "e_form_raw_ev_per_atom": -0.319}

***

Entry 2:
{"formula": "TbTlSb", "functional": "PBE-GGA", "state": "optimized geometry", "lattice_angstrom": [[4.426, 0.023, 0.000], [-0.024, 4.426, 0.000], [0.000, 0.000, 9.112]], "species": ["Sb", "Sb", "Tl", "Tl", "Tb", "Tb"], "fractional_positions": [[0.834, 0.334, 0.178], [0.334, 0.834, 0.822], [0.842, 0.842, 0.500], [0.342, 0.342, 0.500], [0.834, 0.334, 0.839], [0.334, 0.834, 0.161]], "total_magnetization_mub_per_atom": 0.000, "space_group": "Aem2 (39)", "total_energy_ev_per_cell": -25.9, "e_form_raw_ev_per_atom": -0.611}